Record 1
LiCaEuIr after structural relaxation. Source: the Alexandria database, functional GGA-PBE.

The space group is F-43m (No. 216) and the conventional cell measures 7.134, 7.134 and 7.134 Å, with angles of 90.00, 90.00 and 90.00 degrees. The distinct sites, in fractional coordinates, are Li at (0.000, 0.000, 0.000), Ca at (0.250, 0.250, 0.250), Eu at (0.250, 0.250, 0.750) and Ir at (0.000, 0.000, 0.500).

The value obtained for the volume is 363 Å³/cell. Its theoretical density is 7.16 Mg/m³. Its formation energy is -0.9 eV per formula unit. The total DFT energy (no corrections) is -6.000 eV per atom.

=====

Record 2
SmDy7Er2 after structural relaxation. Source: the Alexandria database, functional GGA-PBE.

The space group is Immm (No. 71) and the conventional cell measures 5.421, 7.001 and 16.657 Å, with angles of 90.00, 90.00 and 90.00 degrees. The distinct sites, in fractional coordinates, are Sm at (0.000, 0.000, 0.000), Dy at (0.000, 0.000, 0.200), Dy at (0.000, 0.249, 0.390), Dy at (0.000, 0.500, 0.000) and Er at (0.000, 0.500, 0.199).

The value obtained for the volume is 632 Å³/cell. Its theoretical density is 8.52 Mg/m³. Its formation energy is 0.5 eV per formula unit. The total DFT energy (no corrections) is -4.559 eV per atom.

=====

Record 3
Th3Be2Ni4 after structural relaxation. Source: the Alexandria database, functional GGA-PBE.

The space group is C2/m (No. 12) and the conventional cell measures 10.413, 3.985 and 8.111 Å, with angles of 90.00, 107.42 and 90.00 degrees. The distinct sites, in fractional coordinates, are Th at (0.000, 0.000, 0.000), Th at (0.162, 0.500, 0.670), Be at (0.116, 0.500, 0.285), Ni at (0.065, 0.000, 0.386) and Ni at (0.212, 0.500, 0.072).

The value obtained for the volume is 321 Å³/cell. Its theoretical density is 9.81 Mg/m³. Its formation energy is -3.3 eV per formula unit. The total DFT energy (no corrections) is -6.233 eV per atom.

=====

Copy entry 2 word for word.
SmDy7Er2 after structural relaxation. Source: the Alexandria database, functional GGA-PBE.

The space group is Immm (No. 71) and the conventional cell measures 5.421, 7.001 and 16.657 Å, with angles of 90.00, 90.00 and 90.00 degrees. The distinct sites, in fractional coordinates, are Sm at (0.000, 0.000, 0.000), Dy at (0.000, 0.000, 0.200), Dy at (0.000, 0.249, 0.390), Dy at (0.000, 0.500, 0.000) and Er at (0.000, 0.500, 0.199).

The value obtained for the volume is 632 Å³/cell. Its theoretical density is 8.52 Mg/m³. Its formation energy is 0.5 eV per formula unit. The total DFT energy (no corrections) is -4.559 eV per atom.